Li2AgP: relaxed, PBE-GGA.

Values from the calculation:
* spin magnetization: 0.0 μB per cell
* DFT formation energy: -113 meV per atom
* SG: P4mm, No. 99

Unit cell a=3.323 b=3.323 c=5.661 alpha=90.00 beta=90.00 gamma=90.00
Sites, in units of the cell vectors:
Li  0.500  0.500  0.273
Li  0.000  0.000  0.994
Ag  0.500  0.500  0.747
P  0.000  0.000  0.487